The following is a PBE calculation of crystalline Ac2PrSm7 at its relaxed geometry, from the Alexandria database.

Output
Space group: Cmmm
DFT formation energy: 0.442 eV/atom
Density of states at the Fermi level: 1.71 states/eV per atom

Cell: 3.616 10.723 10.723 Å, 110.08 90.00 90.00°
Sites, in units of the cell vectors:
Ac (0.500, 0.822, 0.178)
Ac (0.500, 0.178, 0.822)
Pr (0.000, 0.000, 0.000)
Sm (0.000, 0.660, 0.340)
Sm (0.000, 0.340, 0.660)
Sm (0.500, 0.143, 0.381)
Sm (0.500, 0.857, 0.619)
Sm (0.500, 0.381, 0.143)
Sm (0.500, 0.619, 0.857)
Sm (0.500, 0.500, 0.500)